[1]
## Tm11Tl9Ga4 (PBE)

Data for Tm11Tl9Ga4 after structural relaxation.

Lattice parameters (Å, degrees): 3.7385 13.2568 13.2568 113.32 90.00 90.00
With the nearest neighbours (Å) after each atom.
Sites, in units of the cell vectors:
Tl 0.5000 0.9414 0.7882  1 Ga 3.17, 8 Tm 3.20-3.49, 1 Tl 3.39
Tl 0.5000 0.6291 0.1474  1 Ga 3.19, 8 Tm 3.24-3.46, 1 Tl 3.26
Tm 0.0000 0.4123 0.0699  2 Ga 2.93, 4 Tl 3.20-3.24
Tl 0.5000 0.2118 0.0586  1 Ga 3.17, 8 Tm 3.20-3.49, 1 Tl 3.39
Tl 0.5000 0.0586 0.2118  1 Ga 3.17, 8 Tm 3.20-3.49, 1 Tl 3.39
Tm 0.0000 0.0000 0.0000  8 Tl 3.20
Tm 0.0000 0.3683 0.6317  4 Ga 2.97
Ga 0.5000 0.4487 0.2508  6 Tm 2.93-2.97, 3 Tl 3.10-3.19
Ga 0.5000 0.2508 0.4487  6 Tm 2.93-2.97, 3 Tl 3.10-3.19
Tm 0.0000 0.1647 0.8353  8 Tl 3.24-3.34, 2 Tm 3.52
Tl 0.5000 0.8526 0.3709  1 Ga 3.19, 8 Tm 3.24-3.46, 1 Tl 3.26
Tl 0.5000 0.5000 0.5000  4 Ga 3.10, 8 Tm 3.45-3.46
Tm 0.0000 0.5877 0.9301  2 Ga 2.93, 4 Tl 3.20-3.24
Tm 0.0000 0.6993 0.6993  4 Ga 2.97
Tl 0.5000 0.3709 0.8526  1 Ga 3.19, 8 Tm 3.24-3.46, 1 Tl 3.26
Tm 0.0000 0.6317 0.3683  4 Ga 2.97
Ga 0.5000 0.7492 0.5513  6 Tm 2.93-2.97, 3 Tl 3.10-3.19
Ga 0.5000 0.5513 0.7492  6 Tm 2.93-2.97, 3 Tl 3.10-3.19
Tm 0.0000 0.8353 0.1647  8 Tl 3.24-3.34, 2 Tm 3.52
Tm 0.0000 0.9301 0.5877  2 Ga 2.93, 4 Tl 3.20-3.24
Tm 0.0000 0.0699 0.4123  2 Ga 2.93, 4 Tl 3.20-3.24
Tl 0.5000 0.1474 0.6291  1 Ga 3.19, 8 Tm 3.24-3.46, 1 Tl 3.26
Tl 0.5000 0.7882 0.9414  1 Ga 3.17, 8 Tm 3.20-3.49, 1 Tl 3.39
Tm 0.0000 0.3007 0.3007  4 Ga 2.97

Properties
The volume is 25.14 Å³/atom. The magnetization comes out at 0.0 μB per cell. The calculation puts the formation energy at -0.345 eV per atom. For the total energy, the calculation gives -3.79 eV per atom.

=====

[2]
## TmTl2Ga (PBE)

Data for TmTl2Ga after structural relaxation.

Lattice parameters (Å, degrees): 4.6392 4.5769 4.5769 90.00 90.00 90.00
With the nearest neighbours (Å) after each atom.
Sites, in units of the cell vectors:
Tl 0.0000 0.5000 0.0000  4 Tl 3.24, 4 Tm 3.26, 4 Ga 3.26
Tl 0.0000 0.0000 0.5000  4 Tl 3.24, 4 Tm 3.26, 4 Ga 3.26
Tm 0.5000 0.5000 0.5000  4 Ga 3.24, 8 Tl 3.26
Ga 0.5000 0.0000 0.0000  4 Tm 3.24, 8 Tl 3.26

Properties
The volume is 24.30 Å³/atom. The magnetization comes out at 0.0 μB per cell. The calculation puts the formation energy at -0.231 eV per atom. For the energy relative to the lowest polymorph listed for this composition, the calculation gives 0 kJ/mol of formula units. For the total energy, the calculation gives -3.29 eV per atom.

=====

[3]
## TmTl2Ga (PBE)

Data for TmTl2Ga after structural relaxation.

Lattice parameters (Å, degrees): 3.4527 3.4527 11.2312 81.16 81.16 60.00
With the nearest neighbours (Å) after each atom.
Sites, in units of the cell vectors:
Ga 0.5000 0.5000 0.5000  6 Tl 3.15, 6 Ga 3.45
Tl 0.0930 0.0930 0.7210  1 Tm 3.08, 3 Ga 3.15, 6 Tl 3.45
Tm 0.0000 0.0000 0.0000  2 Tl 3.08, 6 Tm 3.45
Tl 0.9070 0.9070 0.2790  1 Tm 3.08, 3 Ga 3.15, 6 Tl 3.45

Properties
The volume is 28.53 Å³/atom. The magnetization comes out at 0.0 μB per cell. The calculation puts the formation energy at 0.149 eV per atom. For the energy relative to the lowest polymorph listed for this composition, the calculation gives 147 kJ/mol of formula units. For the total energy, the calculation gives -2.91 eV per atom.